Arrangement A

Computed, not measured: crystalline LaFeI2O at its relaxed geometry at the PBE+U level of DFT.

a = 5.858 Å, b = 5.858 Å, c = 3.803 Å
α = 90.00°, β = 90.00°, γ = 90.00°
Space group P4/mmm (No. 123)
Symmetry-distinct sites (fractional):
La 0.000 0.000 0.000 (multiplicity 1)
Fe 0.500 0.500 0.500 (multiplicity 1)
I 0.000 0.500 0.500 (multiplicity 2)
O 0.500 0.500 0.000 (multiplicity 1)

Computed properties:
total moment = 0.847 μB per atom

---

Arrangement B

Computed, not measured: crystalline LaFeI2O at its relaxed geometry at the PBE+U level of DFT.

a = 6.513 Å, b = 6.513 Å, c = 4.300 Å
α = 90.00°, β = 90.00°, γ = 90.00°
Space group P4/mmm (No. 123)
Symmetry-distinct sites (fractional):
La 0.000 0.000 0.000 (multiplicity 1)
Fe 0.500 0.500 0.500 (multiplicity 1)
I 0.000 0.500 0.000 (multiplicity 2)
O 0.000 0.000 0.500 (multiplicity 1)

Computed properties:
total moment = 0.611 μB per atom

---

Which of them is most stable, and which least? Most stable: arrangement A; least stable: arrangement B.

---

Arrangement A

Computed, not measured: crystalline LaFeIO2 at its relaxed geometry at the PBE+U level of DFT.

a = 4.290 Å, b = 4.290 Å, c = 5.116 Å
α = 90.00°, β = 90.00°, γ = 90.00°
Space group P4/mmm (No. 123)
Symmetry-distinct sites (fractional):
La 0.000 0.000 0.000 (multiplicity 1)
Fe 0.500 0.500 0.500 (multiplicity 1)
I 0.500 0.500 0.000 (multiplicity 1)
O 0.000 0.500 0.500 (multiplicity 2)

Computed properties:
total moment = 0.878 μB per atom

---

Arrangement B

Computed, not measured: crystalline LaFeIO2 at its relaxed geometry at the PBE+U level of DFT.

a = 4.357 Å, b = 4.357 Å, c = 7.050 Å
α = 90.00°, β = 90.00°, γ = 90.00°
Space group P4/mmm (No. 123)
Symmetry-distinct sites (fractional):
La 0.000 0.000 0.000 (multiplicity 1)
Fe 0.500 0.500 0.500 (multiplicity 1)
I 0.000 0.000 0.500 (multiplicity 1)
O 0.000 0.500 0.000 (multiplicity 2)

Computed properties:
total moment = 0.692 μB per atom

---

Which of them is most stable, and which least? Most stable: arrangement B; least stable: arrangement A.